No. 1
First-principles (PBE) data for an optimized crystal structure of YScZn, as listed in Alexandria.

a = 3.4448 Å, b = 3.4448 Å, c = 11.9139 Å
α = 90.00°, β = 90.00°, γ = 90.00°
With the nearest neighbours (Å) after each atom.
Space group I4mm (No. 107)
Asymmetric unit:
Y: 0.0000 0.0000 0.0000  4 Zn 3.11, 4 Y 3.44, 1 Sc 3.45
Sc: 0.0000 0.0000 0.7101  4 Zn 2.87
Zn: 0.0000 0.0000 0.3374  4 Sc 2.87, 4 Y 3.11

Summary:
formation energy	-0.638	eV/f.u.
energy relative to the lowest polymorph listed for this composition	42	meV/atom
magnetization	0.0	μB per formula unit
VASP energy	-14.7	eV per formula unit
N(E_F)	7.401	states/eV/cell

No. 2
First-principles (PBE) data for an optimized crystal structure of Y6ScZn2, as listed in Alexandria.

a = 12.3571 Å, b = 3.5932 Å, c = 11.7378 Å
α = 90.00°, β = 109.69°, γ = 90.00°
With the nearest neighbours (Å) after each atom.
Space group C2/m (No. 12)
Asymmetric unit:
Y: 0.0310 0.0000 0.3216  2 Zn 3.04, 1 Y 3.35
Y: 0.1816 0.5000 0.5911  2 Zn 3.31, 10 Y 3.35-3.62
Y: 0.1854 0.5000 0.8783  2 Zn 3.04, 3 Y 3.30-3.36
Sc: 0.0000 0.0000 0.0000  4 Zn 2.92
Zn: 0.1447 0.5000 0.1854  2 Sc 2.92, 4 Y 3.04

Summary:
formation energy	-1.175	eV/f.u.
magnetization	0.0	μB per formula unit
VASP energy	-48.8	eV per formula unit
N(E_F)	21.138	states/eV/cell

No. 3
First-principles (PBE) data for an optimized crystal structure of Y5ScZn6, as listed in Alexandria.

a = 4.9923 Å, b = 15.0560 Å, c = 7.1097 Å
α = 90.00°, β = 90.00°, γ = 90.00°
With the nearest neighbours (Å) after each atom.
Space group Cmmm (No. 65)
Asymmetric unit:
Y: 0.0000 0.0000 0.0000  8 Zn 3.05-3.10
Y: 0.0000 0.3307 0.0000  8 Zn 3.10-3.15
Y: 0.0000 0.3351 0.5000  8 Zn 3.01-3.13
Sc: 0.0000 0.0000 0.5000  8 Zn 2.98-3.03
Zn: 0.0000 0.1614 0.2583  1 Sc 2.98, 7 Y 3.03-3.14
Zn: 0.0000 0.5000 0.2594  6 Y 3.01-3.15, 2 Sc 3.03

Summary:
formation energy	-4.254	eV/f.u.
magnetization	0.0	μB per formula unit
VASP energy	-50.5	eV per formula unit
N(E_F)	26.268	states/eV/cell

No. 4
First-principles (PBE) data for an optimized crystal structure of YScZn, as listed in Alexandria.

a = 10.7964 Å, b = 4.7102 Å, c = 6.5164 Å
α = 90.00°, β = 120.84°, γ = 90.00°
With the nearest neighbours (Å) after each atom.
Space group C2/m (No. 12)
Asymmetric unit:
Y: 0.0518 0.0000 0.3011  5 Zn 3.02-3.32, 1 Y 3.31, 2 Sc 3.35
Sc: 0.1873 0.5000 0.1052  3 Zn 2.83-2.93
Zn: 0.1434 0.5000 0.6375  1 Zn 2.67, 3 Sc 2.83-2.93

Summary:
formation energy	-0.594	eV/f.u.
energy relative to the lowest polymorph listed for this composition	57	meV/atom
magnetization	0.0	μB per formula unit
VASP energy	-14.7	eV per formula unit
N(E_F)	10.817	states/eV/cell

No. 5
First-principles (PBE) data for an optimized crystal structure of YSc2Zn6, as listed in Alexandria.

a = 7.6288 Å, b = 7.6288 Å, c = 3.3057 Å
α = 90.00°, β = 90.00°, γ = 120.00°
With the nearest neighbours (Å) after each atom.
Space group P6/mmm (No. 191)
Asymmetric unit:
Y: 0.0000 0.0000 0.0000  12 Zn 3.06, 2 Y 3.31
Sc: 0.3333 0.6667 0.0000  12 Zn 3.02, 2 Sc 3.31
Zn: 0.0000 0.3378 0.5000  3 Zn 2.47-2.58

Summary:
formation energy	-3.222	eV/f.u.
magnetization	0.0	μB per formula unit
VASP energy	-30.0	eV per formula unit
N(E_F)	5.615	states/eV/cell

No. 6
First-principles (PBE) data for an optimized crystal structure of YScZn, as listed in Alexandria.

a = 12.4134 Å, b = 3.4591 Å, c = 6.8759 Å
α = 90.00°, β = 106.65°, γ = 90.00°
With the nearest neighbours (Å) after each atom.
Space group C2/m (No. 12)
Asymmetric unit:
Y: 0.1438 0.0000 0.0767  4 Zn 3.09-3.11, 1 Sc 3.39, 1 Y 3.42
Sc: 0.1456 0.0000 0.5699  4 Zn 2.88-2.89
Zn: 0.0034 0.5000 0.7227  4 Sc 2.88-2.89, 1 Zn 3.04, 4 Y 3.09-3.11

Summary:
formation energy	-0.624	eV/f.u.
energy relative to the lowest polymorph listed for this composition	47	meV/atom
magnetization	0.0	μB per formula unit
VASP energy	-14.7	eV per formula unit
N(E_F)	16.054	states/eV/cell

No. 7
First-principles (PBE) data for an optimized crystal structure of YSc3Zn4, as listed in Alexandria.

a = 4.8062 Å, b = 4.8062 Å, c = 6.8690 Å
α = 90.00°, β = 90.00°, γ = 90.00°
With the nearest neighbours (Å) after each atom.
Space group P4/mmm (No. 123)
Asymmetric unit:
Y: 0.0000 0.0000 0.0000  8 Zn 3.02
Sc: 0.0000 0.0000 0.5000  8 Zn 2.89
Sc: 0.5000 0.5000 0.0000  8 Zn 3.02
Sc: 0.5000 0.5000 0.5000  8 Zn 2.89
Zn: 0.0000 0.5000 0.2653  6 Sc 2.89-3.02, 2 Y 3.02, 1 Zn 3.22

Summary:
formation energy	-2.874	eV/f.u.
magnetization	0.0	μB per formula unit
VASP energy	-33.4	eV per formula unit
N(E_F)	6.984	states/eV/cell

No. 8
First-principles (PBE) data for an optimized crystal structure of Y2ScZn, as listed in Alexandria.

a = 3.5241 Å, b = 3.5241 Å, c = 30.1179 Å
α = 90.00°, β = 90.00°, γ = 120.00°
With the nearest neighbours (Å) after each atom.
Space group R-3m (No. 166, hexagonal axes)
Asymmetric unit:
Y: 0.0000 0.0000 0.2423  3 Zn 3.05, 3 Sc 3.41
Sc: 0.0000 0.0000 0.0000  6 Y 3.41, 6 Sc 3.52
Zn: 0.0000 0.0000 0.5000  6 Y 3.05

Summary:
formation energy	-0.111	eV/f.u.
magnetization	0.0	μB per formula unit
VASP energy	-20.6	eV per formula unit
N(E_F)	18.464	states/eV/cell

No. 9
First-principles (PBE) data for an optimized crystal structure of Y2ScZn, as listed in Alexandria.

a = 3.5209 Å, b = 3.5387 Å, c = 8.2970 Å
α = 90.00°, β = 90.00°, γ = 90.00°
With the nearest neighbours (Å) after each atom.
Space group Pmmm (No. 47)
Asymmetric unit:
Y: 0.0000 0.0000 0.2177  4 Zn 3.08, 4 Sc 3.42
Sc: 0.5000 0.5000 0.5000  8 Y 3.42, 4 Sc 3.52-3.54
Zn: 0.5000 0.5000 0.0000  8 Y 3.08

Summary:
formation energy	-0.577	eV/f.u.
magnetization	0.0	μB per formula unit
VASP energy	-21.1	eV per formula unit
N(E_F)	5.298	states/eV/cell

No. 10
First-principles (PBE) data for an optimized crystal structure of YScZn, as listed in Alexandria.

a = 6.3005 Å, b = 4.9844 Å, c = 8.8837 Å
α = 90.00°, β = 90.00°, γ = 90.00°
With the nearest neighbours (Å) after each atom.
Space group Pnma (No. 62)
Asymmetric unit:
Y: 0.1793 0.2500 0.0786  4 Zn 2.92-3.01, 1 Sc 3.26
Sc: 0.0136 0.2500 0.7013  3 Zn 2.88-3.00
Zn: 0.2046 0.2500 0.4063  3 Sc 2.88-3.00, 4 Y 2.92-3.01

Summary:
formation energy	-0.765	eV/f.u.
energy relative to the lowest polymorph listed for this composition	0	meV/atom
magnetization	0.0	μB per formula unit
VASP energy	-14.8	eV per formula unit
N(E_F)	3.069	states/eV/cell

No. 11
First-principles (PBE) data for an optimized crystal structure of YZr2ScZn, as listed in Alexandria.

a = 5.1716 Å, b = 5.1716 Å, c = 5.1908 Å
α = 90.00°, β = 90.00°, γ = 90.00°
With the nearest neighbours (Å) after each atom.
Space group P4/mmm (No. 123)
Asymmetric unit:
Y: 0.0000 0.0000 0.0000  4 Zr 2.59, 2 Sc 2.60
Zr: 0.0000 0.5000 0.0000  2 Y 2.59
Sc: 0.0000 0.0000 0.5000  2 Y 2.60
Zn: 0.5000 0.5000 0.5000  4 Sc 3.66, 8 Zr 3.66

Summary:
formation energy	6.579	eV/f.u.
magnetization	0.0	μB per formula unit
VASP energy	-24.6	eV per formula unit
N(E_F)	6.257	states/eV/cell

No. 12
First-principles (PBE) data for an optimized crystal structure of YZrSc6, as listed in Alexandria.

a = 6.7813 Å, b = 10.1670 Å, c = 6.0231 Å
α = 90.00°, β = 98.01°, γ = 90.00°
With the nearest neighbours (Å) after each atom.
Space group C2/m (No. 12)
Asymmetric unit:
Y: 0.0000 0.0000 0.0000  2 Zr 3.01, 2 Sc 3.37
Zr: 0.0000 0.0000 0.5000  6 Sc 2.95-3.26, 2 Y 3.01
Sc: 0.0899 0.5000 0.2579  1 Zr 2.95, 5 Sc 2.99-3.18
Sc: 0.1870 0.2726 0.7235  3 Sc 2.97-3.15, 1 Zr 3.26

Summary:
formation energy	1.624	eV/f.u.
energy relative to the lowest polymorph listed for this composition	185	meV/atom
magnetization	0.0	μB per formula unit
VASP energy	-51.4	eV per formula unit
N(E_F)	30.536	states/eV/cell

No. 13
First-principles (PBE) data for an optimized crystal structure of YZrSc6, as listed in Alexandria.

a = 6.6829 Å, b = 6.6829 Å, c = 5.1920 Å
α = 90.00°, β = 90.00°, γ = 120.00°
With the nearest neighbours (Å) after each atom.
Space group P-6m2 (No. 187)
Asymmetric unit:
Y: 0.0000 0.0000 0.0000  12 Sc 3.26-3.34
Zr: 0.6667 0.3333 0.5000  12 Sc 3.21-3.34
Sc: 0.1705 0.3409 0.5000  8 Sc 3.23-3.42, 2 Y 3.26, 2 Zr 3.34
Sc: 0.5028 0.0057 0.0000  2 Zr 3.21, 8 Sc 3.23-3.40, 2 Y 3.34

Summary:
formation energy	0.146	eV/f.u.
energy relative to the lowest polymorph listed for this composition	0	meV/atom
magnetization	0.0	μB per formula unit
VASP energy	-52.9	eV per formula unit
N(E_F)	16.722	states/eV/cell

No. 14
First-principles (PBE) data for an optimized crystal structure of Y2ZrSc12, as listed in Alexandria.

a = 6.5220 Å, b = 10.5149 Å, c = 22.5839 Å
α = 90.00°, β = 90.00°, γ = 90.00°
With the nearest neighbours (Å) after each atom.
Space group Cmme (No. 67)
Asymmetric unit:
Y: 0.0000 0.2500 0.2299  2 Y 3.26, 8 Sc 3.37-3.51
Y: 0.0000 0.2500 0.7674  2 Y 3.26, 8 Sc 3.39-3.48
Zr: 0.0000 0.2500 0.4998  8 Sc 3.10-3.20, 2 Zr 3.26
Sc: 0.0000 0.9996 0.4268  2 Zr 3.10-3.11, 9 Sc 3.24-3.31
Sc: 0.0000 0.0076 0.0606  3 Sc 2.74-2.98
Sc: 0.2440 0.2500 0.9169  8 Sc 3.09-3.34
Sc: 0.2500 0.0000 0.1712  7 Sc 2.98-3.30
Sc: 0.2500 0.0000 0.3031  7 Sc 2.98-3.26
Sc: 0.2498 0.2500 0.3783  8 Sc 3.13-3.29, 2 Zr 3.19-3.20

Summary:
formation energy	2.544	eV/f.u.
magnetization	0.0	μB per formula unit
VASP energy	-94.9	eV per formula unit
N(E_F)	111.873	states/eV/cell

No. 15
First-principles (PBE) data for an optimized crystal structure of YZrSc2, as listed in Alexandria.

a = 5.1021 Å, b = 3.2626 Å, c = 12.3331 Å
α = 90.00°, β = 90.00°, γ = 90.00°
With the nearest neighbours (Å) after each atom.
Space group Amm2 (No. 38)
Asymmetric unit:
Y: 0.0000 0.0000 0.0000  7 Sc 3.15-3.43, 2 Y 3.26
Zr: 0.5000 0.0000 0.6571  7 Sc 3.23-3.38, 2 Zr 3.26, 4 Y 3.60
Sc: 0.0000 0.0000 0.2558  4 Sc 2.99-3.26, 1 Y 3.15, 4 Zr 3.26
Sc: 0.5000 0.0000 0.3830  4 Sc 2.99-3.26, 2 Zr 3.23

Summary:
formation energy	0.205	eV/f.u.
energy relative to the lowest polymorph listed for this composition	24	meV/atom
magnetization	0.0	μB per formula unit
VASP energy	-27.5	eV per formula unit
N(E_F)	12.333	states/eV/cell

No. 16
First-principles (PBE) data for an optimized crystal structure of Y2ZrSc, as listed in Alexandria.

a = 6.7797 Å, b = 9.5702 Å, c = 3.3792 Å
α = 90.00°, β = 90.00°, γ = 90.00°
With the nearest neighbours (Å) after each atom.
Space group Cmmm (No. 65)
Asymmetric unit:
Y: 0.2500 0.2500 0.0000  4 Y 3.38-3.39, 4 Zr 3.38, 4 Sc 3.38
Zr: 0.0000 0.0000 0.5000  2 Zr 3.38, 8 Y 3.38, 2 Sc 3.39
Sc: 0.0000 0.5000 0.5000  2 Sc 3.38, 8 Y 3.38, 2 Zr 3.39

Summary:
formation energy	0.406	eV/f.u.
energy relative to the lowest polymorph listed for this composition	54	meV/atom
magnetization	0.0	μB per formula unit
VASP energy	-27.4	eV per formula unit
N(E_F)	12.407	states/eV/cell

No. 17
First-principles (PBE) data for an optimized crystal structure of YZr4Sc8, as listed in Alexandria.

a = 6.2694 Å, b = 6.2796 Å, c = 9.8408 Å
α = 89.67°, β = 89.76°, γ = 60.28°
With the nearest neighbours (Å) after each atom.
Space group P-1 (No. 2)
Asymmetric unit:
Y: 0.0000 0.0000 0.0000  6 Sc 2.99-3.01
Zr: 0.0000 0.0000 0.5000  6 Sc 3.13-3.14, 6 Zr 3.13-3.15
Zr: 0.0000 0.5000 0.5000  4 Sc 3.11-3.12, 6 Zr 3.13-3.15
Zr: 0.5000 0.0000 0.5000  4 Sc 3.11-3.12, 6 Zr 3.13-3.15
Zr: 0.5000 0.5000 0.5000  4 Sc 3.12, 6 Zr 3.13-3.15
Sc: 0.1685 0.1683 0.7578  1 Y 2.99, 4 Sc 3.10-3.18, 3 Zr 3.11-3.14
Sc: 0.1675 0.6629 0.7588  1 Y 3.01, 4 Sc 3.10-3.18, 3 Zr 3.12-3.13
Sc: 0.3344 0.3367 0.0902  9 Sc 3.46-3.75, 3 Y 3.72-3.75
Sc: 0.3377 0.8318 0.2412  1 Y 3.00, 4 Sc 3.10-3.18, 3 Zr 3.12-3.14

Summary:
formation energy	2.783	eV/f.u.
magnetization	0.0	μB per formula unit
VASP energy	-88.5	eV per formula unit
N(E_F)	19.644	states/eV/cell

No. 18
First-principles (PBE) data for an optimized crystal structure of YZrSc2, as listed in Alexandria.

a = 4.6776 Å, b = 4.6776 Å, c = 9.3306 Å
α = 90.00°, β = 90.00°, γ = 90.00°
With the nearest neighbours (Å) after each atom.
Space group I-4m2 (No. 119)
Asymmetric unit:
Y: 0.0000 0.0000 0.0000  4 Zr 3.30, 8 Sc 3.30-3.31
Zr: 0.0000 0.5000 0.2500  8 Sc 3.30-3.31, 4 Y 3.30
Sc: 0.0000 0.0000 0.5000  4 Zr 3.30, 4 Sc 3.30, 4 Y 3.31
Sc: 0.0000 0.5000 0.7500  4 Sc 3.30, 4 Y 3.30, 4 Zr 3.31

Summary:
formation energy	0.261	eV/f.u.
energy relative to the lowest polymorph listed for this composition	38	meV/atom
magnetization	0.0	μB per formula unit
VASP energy	-27.4	eV per formula unit
N(E_F)	11.516	states/eV/cell

No. 19
First-principles (PBE) data for an optimized crystal structure of YZrSc2, as listed in Alexandria.

a = 3.3475 Å, b = 4.4729 Å, c = 6.8619 Å
α = 90.00°, β = 90.00°, γ = 90.00°
With the nearest neighbours (Å) after each atom.
Space group Pmmm (No. 47)
Asymmetric unit:
Y: 0.0000 0.0000 0.0000  2 Y 3.35, 8 Sc 3.37, 2 Zr 3.43
Zr: 0.0000 0.0000 0.5000  8 Sc 3.19, 2 Zr 3.35, 2 Y 3.43
Sc: 0.5000 0.5000 0.2749  3 Sc 3.09-3.35, 4 Zr 3.19, 4 Y 3.37

Summary:
formation energy	0.166	eV/f.u.
energy relative to the lowest polymorph listed for this composition	14	meV/atom
magnetization	0.0	μB per formula unit
VASP energy	-27.5	eV per formula unit
N(E_F)	4.900	states/eV/cell

No. 20
First-principles (PBE) data for an optimized crystal structure of YZrSc5, as listed in Alexandria.

a = 10.1866 Å, b = 11.6929 Å, c = 6.4806 Å
α = 90.00°, β = 109.67°, γ = 90.00°
With the nearest neighbours (Å) after each atom.
Space group C2/c (No. 15)
Asymmetric unit:
Y: 0.0000 0.1527 0.2500  7 Sc 3.11-3.31
Zr: 0.2500 0.2500 0.0000  4 Sc 2.97-3.13
Sc: 0.0000 0.1147 0.7500  2 Zr 2.97, 4 Sc 3.07-3.32, 3 Y 3.13-3.27
Sc: 0.0329 0.3688 0.5429  5 Sc 2.98-3.32, 1 Y 3.11, 1 Zr 3.13
Sc: 0.2456 0.4720 0.3550  7 Sc 3.05-3.40, 1 Y 3.31, 1 Zr 3.38

Summary:
formation energy	1.577	eV/f.u.
magnetization	0.0	μB per formula unit
VASP energy	-45.1	eV per formula unit
N(E_F)	45.743	states/eV/cell